This record from Alexandria describes a relaxed NaCuW3 crystal. The functional is PBE.

a = 4.479 Å, b = 4.479 Å, c = 4.479 Å
α = 90.00°, β = 90.00°, γ = 90.00°
Positions (direct):
W 0.500 0.000 0.000
W 0.000 0.500 0.000
W 0.000 0.000 0.500
Na 0.000 0.000 0.000
Cu 0.500 0.500 0.500

SG: Pm-3m
Calculated volume, Å³/atom: 17.97
Energy, eV per cell: -28.7
Total magnetic moment, μB per formula unit: 0.00